Run i
Density functional theory data (PBE) for an optimized crystal structure of SrSmPb4.

Calculated values
Space-group type: No. 63

Geometry as POSCAR:
```
SrSmPb4
1.0
4.6910 0.0000 -0.9618
0.0000 6.8752 0.0000
0.0719 0.0000 12.2713
Pb Sm Sr
8 2 2
Direct
0.1470 0.9838 0.2941
0.0000 0.5000 0.0000
0.5785 0.2500 0.1571
0.0000 0.0000 0.0000
0.4215 0.7500 0.8429
0.1470 0.5162 0.2941
0.8530 0.0162 0.7059
0.8530 0.4838 0.7059
0.4325 0.2500 0.8650
0.5675 0.7500 0.1350
0.2761 0.7500 0.5523
0.7239 0.2500 0.4477
```


Run ii
Density functional theory data (PBE) for an optimized crystal structure of SrSmPb4.

Calculated values
Space-group type: No. 216

Geometry as POSCAR:
```
SrSmPb4
1.0
6.5423 0.0000 0.0000
3.2711 5.6658 0.0000
3.2711 1.8886 5.3417
Sm Pb Sr
1 4 1
Direct
0.0000 0.0000 0.0000
0.6256 0.1233 0.6256
0.6256 0.6256 0.1233
0.6256 0.6256 0.6256
0.1233 0.6256 0.6256
0.2500 0.2500 0.2500
```


Top of the stability list: run i, leading by 12.7 kJ/mol of atoms.


Run i
Density functional theory data (PBE) for an optimized crystal structure of TbSmPb.

Calculated values
Space-group type: No. 129

Geometry as POSCAR:
```
TbSmPb
1.0
-3.0122 -3.0710 -1.6653
1.9967 -3.3193 2.5096
-5.4314 1.7346 6.6155
Pb Sm Tb
2 2 2
Direct
0.2494 0.7500 0.7813
0.7506 0.2500 0.2187
0.2505 0.7500 0.1557
0.7495 0.2500 0.8443
0.7500 0.7500 0.5001
0.2500 0.2500 0.4999
```


Run ii
Density functional theory data (PBE) for an optimized crystal structure of TbSmPb.

Calculated values
Space-group type: No. 107

Geometry as POSCAR:
```
TbSmPb
1.0
-3.1241 1.0604 1.5255
-1.7734 -0.8123 -3.0671
1.3734 -6.6869 3.1306
Pb Tb Sm
1 1 1
Direct
0.2848 0.2848 0.5695
0.9403 0.9403 0.8806
0.6249 0.6249 0.2498
```


Top of the stability list: run i, leading by 13.7 kJ/mol of atoms.


Run i
Density functional theory data (PBE) for an optimized crystal structure of TbSmPb.

Calculated values
Space-group type: No. 31

Geometry as POSCAR:
```
TbSmPb
1.0
5.2661 0.0000 0.0000
0.0000 6.4686 0.0000
0.0000 0.0000 17.3327
Sm Tb Pb
6 6 6
Direct
0.5000 0.7866 0.2643
0.0000 0.3862 0.5592
0.5000 0.8226 0.8548
0.0000 0.1774 0.3548
0.0000 0.2134 0.7643
0.5000 0.6138 0.0592
0.0000 0.3172 0.9622
0.0000 0.5087 0.1774
0.5000 0.6828 0.4622
0.5000 0.9857 0.6370
0.0000 0.0143 0.1370
0.5000 0.4913 0.6774
0.0000 0.7364 0.7142
0.0000 0.6717 0.3637
0.5000 0.3283 0.8637
0.5000 0.1831 0.4671
0.5000 0.2636 0.2142
0.0000 0.8169 0.9671
```


Run ii
Density functional theory data (PBE) for an optimized crystal structure of TbSmPb.

Calculated values
Space-group type: No. 156

Geometry as POSCAR:
```
TbSmPb
1.0
-0.9112 -0.7536 3.6032
-0.5087 -5.1616 -1.2081
4.7095 1.9108 1.5906
Pb Sm Tb
1 1 1
Direct
0.6922 0.6667 0.3333
0.3828 0.3333 0.6667
0.9250 0.0000 0.0000
```


Top of the stability list: run i, leading by 6.2 kJ/mol of atoms.


Run i
Density functional theory data (PBE) for an optimized crystal structure of Tb2SmPb.

Calculated values
Space-group type: No. 166

Geometry as POSCAR:
```
Tb2SmPb
1.0
3.5576 0.0000 0.0000
1.7788 3.0809 0.0000
1.7788 1.0270 12.1158
Sm Pb Tb
1 1 2
Direct
0.5000 0.5000 0.5000
0.0000 0.0000 0.0000
0.9124 0.9124 0.2627
0.0876 0.0876 0.7373
```


Run ii
Density functional theory data (PBE) for an optimized crystal structure of Tb2SmPb.

Calculated values
Space-group type: No. 123

Geometry as POSCAR:
```
Tb2SmPb
1.0
-2.3051 -3.4163 -2.6131
1.8373 -3.4773 2.9254
-3.9100 0.3980 2.9288
Sm Tb Pb
1 2 1
Direct
0.5000 0.0000 0.0000
0.0000 0.5000 0.0000
0.0000 0.0000 0.5000
0.5000 0.5000 0.5000
```


Run iii
Density functional theory data (PBE) for an optimized crystal structure of Tb2SmPb.

Calculated values
Space-group type: No. 160

Geometry as POSCAR:
```
Tb2SmPb
1.0
3.6246 0.0000 0.0000
1.8123 3.1390 0.0000
1.8123 1.0463 11.0676
Tb Sm Pb
2 1 1
Direct
0.0793 0.0793 0.7620
0.2542 0.2542 0.2373
0.4999 0.4999 0.5002
0.6665 0.6665 0.0005
```


Top of the stability list: run ii, leading by 14.1 kJ/mol of atoms.